A | # K2TeSe3, relaxed, DFT PBE
# M_tot in μB/f.u.: 0.00
data_K2TeSe3
_chemical_formula_sum 'K4 Te2 Se6'
_space_group_name_H-M_alt 'P -3 m 1'
_space_group_IT_number 164
_space_group_name_Hall '-P 3 2"'
_cell_length_a 7.6468
_cell_length_b 7.6468
_cell_length_c 10.4595
_cell_angle_alpha 90.00
_cell_angle_beta 90.00
_cell_angle_gamma 120.00
loop_
_atom_site_label
_atom_site_fract_x
_atom_site_fract_y
_atom_site_fract_z
_atom_site_occupancy
K1 0.0000 0.0000 0.0000 1
K2 0.0000 0.0000 0.5000 1
K3 0.3333 0.6667 0.2298 1
Te1 0.3333 0.6667 0.6608 1
Se1 0.1578 0.3156 0.7506 1


B | # K2TeSe3, relaxed, DFT PBE
# M_tot in μB/f.u.: 0.00
data_K2TeSe3
_chemical_formula_sum 'K8 Te4 Se12'
_space_group_name_H-M_alt 'C 1 2/c 1'
_space_group_IT_number 15
_space_group_name_Hall '-C 2yc'
_cell_length_a 17.6279
_cell_length_b 5.9533
_cell_length_c 6.8176
_cell_angle_alpha 90.00
_cell_angle_beta 90.04
_cell_angle_gamma 90.00
loop_
_atom_site_label
_atom_site_fract_x
_atom_site_fract_y
_atom_site_fract_z
_atom_site_occupancy
K1 0.1657 0.9999 0.0006 1
Te1 0.0000 0.4713 0.2500 1
Se1 0.0000 0.0455 0.2500 1
Se2 0.1595 0.4994 0.7503 1


C | # K2TeSe3, relaxed, DFT PBE
# M_tot in μB/f.u.: 0.00
data_K2TeSe3
_chemical_formula_sum 'K8 Te4 Se12'
_space_group_name_H-M_alt 'P 1 21/c 1'
_space_group_IT_number 14
_space_group_name_Hall '-P 2ybc'
_cell_length_a 10.4838
_cell_length_b 6.7286
_cell_length_c 13.4111
_cell_angle_alpha 90.00
_cell_angle_beta 105.33
_cell_angle_gamma 90.00
loop_
_atom_site_label
_atom_site_fract_x
_atom_site_fract_y
_atom_site_fract_z
_atom_site_occupancy
K1 0.0052 0.2475 0.1252 1
K2 0.3451 0.2483 0.9569 1
Te1 0.2868 0.7040 0.1637 1
Se1 0.0384 0.7440 0.1335 1
Se2 0.3216 0.7464 0.9849 1
Se3 0.3336 0.1593 0.7023 1


Which of them is most stable, and which least? Most stable: C; least stable: B.


A | # K2TlTeSe, relaxed, DFT PBE
# M_tot in μB/f.u.: 0.25
data_K2TlTeSe
_chemical_formula_sum 'K2 Tl1 Te1 Se1'
_space_group_name_H-M_alt 'P 4/m m m'
_space_group_IT_number 123
_space_group_name_Hall '-P 4 2'
_cell_length_a 6.1505
_cell_length_b 6.1505
_cell_length_c 5.4964
_cell_angle_alpha 90.00
_cell_angle_beta 90.00
_cell_angle_gamma 90.00
loop_
_atom_site_label
_atom_site_fract_x
_atom_site_fract_y
_atom_site_fract_z
_atom_site_occupancy
K1 0.0000 0.5000 0.0000 1
Tl1 0.0000 0.0000 0.5000 1
Te1 0.5000 0.5000 0.5000 1
Se1 0.0000 0.0000 0.0000 1


B | # K2TlTeSe, relaxed, DFT PBE
# M_tot in μB/f.u.: 0.00
data_K2TlTeSe
_chemical_formula_sum 'K4 Tl2 Te2 Se2'
_space_group_name_H-M_alt 'P 1 21/m 1'
_space_group_IT_number 11
_space_group_name_Hall '-P 2yb'
_cell_length_a 8.2001
_cell_length_b 5.5644
_cell_length_c 8.3387
_cell_angle_alpha 90.00
_cell_angle_beta 91.86
_cell_angle_gamma 90.00
loop_
_atom_site_label
_atom_site_fract_x
_atom_site_fract_y
_atom_site_fract_z
_atom_site_occupancy
K1 0.0068 0.2500 0.2053 1
K2 0.4768 0.2500 0.1638 1
Tl1 0.3123 0.7500 0.4352 1
Te1 0.2795 0.2500 0.5708 1
Se1 0.2435 0.7500 0.1123 1


Which of them is most stable, and which least? Most stable: B; least stable: A.


A | # KThSe3, relaxed, DFT PBE
# M_tot in μB/f.u.: 0.00
data_KThSe3
_chemical_formula_sum 'K4 Th4 Se12'
_space_group_name_H-M_alt 'C 1 2/m 1'
_space_group_IT_number 12
_space_group_name_Hall '-C 2y'
_cell_length_a 16.1976
_cell_length_b 5.8252
_cell_length_c 7.9198
_cell_angle_alpha 90.00
_cell_angle_beta 104.45
_cell_angle_gamma 90.00
loop_
_atom_site_label
_atom_site_fract_x
_atom_site_fract_y
_atom_site_fract_z
_atom_site_occupancy
K1 0.1374 0.0000 0.3718 1
Th1 0.1455 0.5000 0.8923 1
Se1 0.0420 0.5000 0.1633 1
Se2 0.1456 0.5000 0.5519 1
Se3 0.1705 0.0000 0.9435 1


B | # KThSe3, relaxed, DFT PBE
# M_tot in μB/f.u.: 0.00
data_KThSe3
_chemical_formula_sum 'K1 Th1 Se3'
_space_group_name_H-M_alt 'P m -3 m'
_space_group_IT_number 221
_space_group_name_Hall '-P 4 2 3'
_cell_length_a 5.7172
_cell_length_b 5.7172
_cell_length_c 5.7172
_cell_angle_alpha 90.00
_cell_angle_beta 90.00
_cell_angle_gamma 90.00
loop_
_atom_site_label
_atom_site_fract_x
_atom_site_fract_y
_atom_site_fract_z
_atom_site_occupancy
K1 0.0000 0.0000 0.0000 1
Th1 0.5000 0.5000 0.5000 1
Se1 0.0000 0.5000 0.5000 1


Which of them is most stable, and which least? Most stable: A; least stable: B.


A | # KTi4Se8, relaxed, DFT PBE
# M_tot in μB/f.u.: 0.82
data_KTi4Se8
_chemical_formula_sum 'K4 Ti16 Se32'
_space_group_name_H-M_alt 'F -4 3 m'
_space_group_IT_number 216
_space_group_name_Hall 'F -4 2 3'
_cell_length_a 11.0369
_cell_length_b 11.0369
_cell_length_c 11.0369
_cell_angle_alpha 90.00
_cell_angle_beta 90.00
_cell_angle_gamma 90.00
loop_
_atom_site_label
_atom_site_fract_x
_atom_site_fract_y
_atom_site_fract_z
_atom_site_occupancy
K1 0.0000 0.0000 0.0000 1
Ti1 0.1187 0.1187 0.6187 1
Se1 0.1172 0.1172 0.3828 1
Se2 0.1465 0.1465 0.8535 1


B | # KTi4Se8, relaxed, DFT PBE
# M_tot in μB/f.u.: 0.00
data_KTi4Se8
_chemical_formula_sum 'K3 Ti12 Se24'
_space_group_name_H-M_alt 'R -3 m'
_space_group_IT_number 166
_space_group_name_Hall '-R 3 2"'
_cell_length_a 7.1101
_cell_length_b 7.1101
_cell_length_c 25.2200
_cell_angle_alpha 90.00
_cell_angle_beta 90.00
_cell_angle_gamma 120.00
loop_
_atom_site_label
_atom_site_fract_x
_atom_site_fract_y
_atom_site_fract_z
_atom_site_occupancy
K1 0.0000 0.0000 0.0000 1
Ti1 0.0000 0.0000 0.5000 1
Ti2 0.0000 0.5000 0.5000 1
Se1 0.0000 0.0000 0.2281 1
Se2 0.0020 0.5010 0.2282 1


Which of them is most stable, and which least? Most stable: B; least stable: A.


A | # KTiSe3, relaxed, DFT PBE
# M_tot in μB/f.u.: 0.00
data_KTiSe3
_chemical_formula_sum 'K1 Ti1 Se3'
_space_group_name_H-M_alt 'P m -3 m'
_space_group_IT_number 221
_space_group_name_Hall '-P 4 2 3'
_cell_length_a 5.0525
_cell_length_b 5.0525
_cell_length_c 5.0525
_cell_angle_alpha 90.00
_cell_angle_beta 90.00
_cell_angle_gamma 90.00
loop_
_atom_site_label
_atom_site_fract_x
_atom_site_fract_y
_atom_site_fract_z
_atom_site_occupancy
K1 0.0000 0.0000 0.0000 1
Ti1 0.5000 0.5000 0.5000 1
Se1 0.0000 0.5000 0.5000 1


B | # KTiSe3, relaxed, DFT PBE
# M_tot in μB/f.u.: 0.00
data_KTiSe3
_chemical_formula_sum 'K2 Ti2 Se6'
_space_group_name_H-M_alt 'P -1'
_space_group_IT_number 2
_space_group_name_Hall '-P 1'
_cell_length_a 4.8517
_cell_length_b 8.2760
_cell_length_c 8.7076
_cell_angle_alpha 101.64
_cell_angle_beta 90.14
_cell_angle_gamma 107.00
loop_
_atom_site_label
_atom_site_fract_x
_atom_site_fract_y
_atom_site_fract_z
_atom_site_occupancy
K1 0.1249 0.2491 0.3426 1
Ti1 0.3349 0.6740 0.1223 1
Se1 0.1772 0.3518 0.9839 1
Se2 0.3465 0.6957 0.3888 1
Se3 0.4971 0.9944 0.1362 1


Which of them is most stable, and which least? Most stable: B; least stable: A.


A | # K2TiSe2, relaxed, DFT PBE
# M_tot in μB/f.u.: 2.00
data_K2TiSe2
_chemical_formula_sum 'K4 Ti2 Se4'
_space_group_name_H-M_alt 'I 4/m m m'
_space_group_IT_number 139
_space_group_name_Hall '-I 4 2'
_cell_length_a 5.7223
_cell_length_b 5.7223
_cell_length_c 9.1431
_cell_angle_alpha 90.00
_cell_angle_beta 90.00
_cell_angle_gamma 90.00
loop_
_atom_site_label
_atom_site_fract_x
_atom_site_fract_y
_atom_site_fract_z
_atom_site_occupancy
K1 0.0000 0.0000 0.1494 1
Ti1 0.0000 0.0000 0.5000 1
Se1 0.0000 0.5000 0.2500 1


B | # K2TiSe2, relaxed, DFT PBE
# M_tot in μB/f.u.: 0.00
data_K2TiSe2
_chemical_formula_sum 'K8 Ti4 Se8'
_space_group_name_H-M_alt 'I b a m'
_space_group_IT_number 72
_space_group_name_Hall '-I 2 2c'
_cell_length_a 7.3558
_cell_length_b 13.3425
_cell_length_c 6.2624
_cell_angle_alpha 90.00
_cell_angle_beta 90.00
_cell_angle_gamma 90.00
loop_
_atom_site_label
_atom_site_fract_x
_atom_site_fract_y
_atom_site_fract_z
_atom_site_occupancy
K1 0.1559 0.1496 0.0000 1
Ti1 0.0000 0.5000 0.2500 1
Se1 0.1970 0.3975 0.0000 1


C | # K2TiSe2, relaxed, DFT PBE
# M_tot in μB/f.u.: 2.00
data_K2TiSe2
_chemical_formula_sum 'K4 Ti2 Se4'
_space_group_name_H-M_alt 'P 4/m b m'
_space_group_IT_number 127
_space_group_name_Hall '-P 4 2ab'
_cell_length_a 8.4468
_cell_length_b 8.4468
_cell_length_c 3.8467
_cell_angle_alpha 90.00
_cell_angle_beta 90.00
_cell_angle_gamma 90.00
loop_
_atom_site_label
_atom_site_fract_x
_atom_site_fract_y
_atom_site_fract_z
_atom_site_occupancy
K1 0.1167 0.3833 0.0000 1
Ti1 0.0000 0.0000 0.0000 1
Se1 0.1880 0.6880 0.5000 1


Which of them is most stable, and which least? Most stable: B; least stable: A.


A | # KTlSe2, relaxed, DFT PBE
# M_tot in μB/f.u.: 0.00
data_KTlSe2
_chemical_formula_sum 'K1 Tl1 Se2'
_space_group_name_H-M_alt 'P 1 2/m 1'
_space_group_IT_number 10
_space_group_name_Hall '-P 2y'
_cell_length_a 4.8432
_cell_length_b 4.3890
_cell_length_c 6.7599
_cell_angle_alpha 90.00
_cell_angle_beta 90.38
_cell_angle_gamma 90.00
loop_
_atom_site_label
_atom_site_fract_x
_atom_site_fract_y
_atom_site_fract_z
_atom_site_occupancy
K1 0.0000 0.0000 0.0000 1
Tl1 0.5000 0.0000 0.5000 1
Se1 0.5005 0.5000 0.1845 1


B | # KTlSe2, relaxed, DFT PBE
# M_tot in μB/f.u.: 1.93
data_KTlSe2
_chemical_formula_sum 'K4 Tl4 Se8'
_space_group_name_H-M_alt 'F m -3 m'
_space_group_IT_number 225
_space_group_name_Hall '-F 4 2 3'
_cell_length_a 7.7392
_cell_length_b 7.7392
_cell_length_c 7.7392
_cell_angle_alpha 90.00
_cell_angle_beta 90.00
_cell_angle_gamma 90.00
loop_
_atom_site_label
_atom_site_fract_x
_atom_site_fract_y
_atom_site_fract_z
_atom_site_occupancy
K1 0.0000 0.0000 0.0000 1
Tl1 0.0000 0.0000 0.5000 1
Se1 0.2500 0.2500 0.2500 1


C | # KTlSe2, relaxed, DFT PBE
# M_tot in μB/f.u.: 0.00
data_KTlSe2
_chemical_formula_sum 'K2 Tl2 Se4'
_space_group_name_H-M_alt 'C 1 2/m 1'
_space_group_IT_number 12
_space_group_name_Hall '-C 2y'
_cell_length_a 7.3507
_cell_length_b 4.2252
_cell_length_c 8.0812
_cell_angle_alpha 90.00
_cell_angle_beta 107.70
_cell_angle_gamma 90.00
loop_
_atom_site_label
_atom_site_fract_x
_atom_site_fract_y
_atom_site_fract_z
_atom_site_occupancy
K1 0.0000 0.0000 0.0000 1
Tl1 0.0000 0.5000 0.5000 1
Se1 0.2339 0.0000 0.7046 1


D | # KTlSe2, relaxed, DFT PBE
# M_tot in μB/f.u.: 0.00
data_KTlSe2
_chemical_formula_sum 'K4 Tl4 Se8'
_space_group_name_H-M_alt 'I 4/m c m'
_space_group_IT_number 140
_space_group_name_Hall '-I 4 2c'
_cell_length_a 8.2359
_cell_length_b 8.2359
_cell_length_c 7.2141
_cell_angle_alpha 90.00
_cell_angle_beta 90.00
_cell_angle_gamma 90.00
loop_
_atom_site_label
_atom_site_fract_x
_atom_site_fract_y
_atom_site_fract_z
_atom_site_occupancy
K1 0.0000 0.0000 0.2500 1
Tl1 0.0000 0.5000 0.2500 1
Se1 0.1757 0.3243 0.0000 1


Which of them is most stable, and which least? Most stable: D; least stable: B.


A | # KTlSe2, relaxed, DFT PBE
# M_tot in μB/f.u.: 0.00
data_KTlSe2
_chemical_formula_sum 'K3 Tl3 Se6'
_space_group_name_H-M_alt 'R 3 m'
_space_group_IT_number 160
_space_group_name_Hall 'R 3 -2"'
_cell_length_a 4.2089
_cell_length_b 4.2089
_cell_length_c 23.4117
_cell_angle_alpha 90.00
_cell_angle_beta 90.00
_cell_angle_gamma 120.00
loop_
_atom_site_label
_atom_site_fract_x
_atom_site_fract_y
_atom_site_fract_z
_atom_site_occupancy
K1 0.0000 0.0000 0.0000 1
Tl1 0.0000 0.0000 0.1675 1
Se1 0.0000 0.0000 0.5684 1
Se2 0.0000 0.0000 0.7658 1


B | # KTlSe2, relaxed, DFT PBE
# M_tot in μB/f.u.: 0.00
data_KTlSe2
_chemical_formula_sum 'K1 Tl1 Se2'
_space_group_name_H-M_alt 'P 1 m 1'
_space_group_IT_number 6
_space_group_name_Hall 'P -2y'
_cell_length_a 3.2337
_cell_length_b 5.6860
_cell_length_c 6.7743
_cell_angle_alpha 90.00
_cell_angle_beta 103.72
_cell_angle_gamma 90.00
loop_
_atom_site_label
_atom_site_fract_x
_atom_site_fract_y
_atom_site_fract_z
_atom_site_occupancy
K1 0.0000 0.0000 0.0000 1
Tl1 0.2305 0.5000 0.4646 1
Se1 0.2710 0.0000 0.5411 1
Se2 0.5422 0.5000 0.0831 1


Which of them is most stable, and which least? Most stable: A; least stable: B.


A | # KTlSe2, relaxed, DFT PBE
# M_tot in μB/f.u.: 0.00
data_KTlSe2
_chemical_formula_sum 'K2 Tl2 Se4'
_space_group_name_H-M_alt 'I m m 2'
_space_group_IT_number 44
_space_group_name_Hall 'I 2 -2'
_cell_length_a 3.6982
_cell_length_b 5.4233
_cell_length_c 11.5131
_cell_angle_alpha 90.00
_cell_angle_beta 90.00
_cell_angle_gamma 90.00
loop_
_atom_site_label
_atom_site_fract_x
_atom_site_fract_y
_atom_site_fract_z
_atom_site_occupancy
K1 0.0000 0.0000 0.0000 1
Tl1 0.0000 0.5000 0.7870 1
Se1 0.0000 0.0000 0.5104 1
Se2 0.0000 0.5000 0.2037 1


B | # KTlSe2, relaxed, DFT PBE
# M_tot in μB/f.u.: 0.00
data_KTlSe2
_chemical_formula_sum 'K3 Tl3 Se6'
_space_group_name_H-M_alt 'R -3 m'
_space_group_IT_number 166
_space_group_name_Hall '-R 3 2"'
_cell_length_a 5.3821
_cell_length_b 5.3821
_cell_length_c 23.0541
_cell_angle_alpha 90.00
_cell_angle_beta 90.00
_cell_angle_gamma 120.00
loop_
_atom_site_label
_atom_site_fract_x
_atom_site_fract_y
_atom_site_fract_z
_atom_site_occupancy
K1 0.0000 0.0000 0.0000 1
Tl1 0.0000 0.0000 0.5000 1
Se1 0.0000 0.0000 0.3941 1


C | # KTlSe2, relaxed, DFT PBE
# M_tot in μB/f.u.: 0.00
data_KTlSe2
_chemical_formula_sum 'K1 Tl1 Se2'
_space_group_name_H-M_alt 'P 4 m m'
_space_group_IT_number 99
_space_group_name_Hall 'P 4 -2'
_cell_length_a 4.0425
_cell_length_b 4.0425
_cell_length_c 8.2547
_cell_angle_alpha 90.00
_cell_angle_beta 90.00
_cell_angle_gamma 90.00
loop_
_atom_site_label
_atom_site_fract_x
_atom_site_fract_y
_atom_site_fract_z
_atom_site_occupancy
K1 0.0000 0.0000 0.0000 1
Tl1 0.5000 0.5000 0.4917 1
Se1 0.0000 0.0000 0.5951 1
Se2 0.5000 0.5000 0.1708 1


Which of them is most stable, and which least? Most stable: B; least stable: A.